# 1
8
Lattice="-2.995 2.995 4.330 2.995 -2.995 4.330 2.995 2.995 -4.330" Properties=species:S:1:pos:R:3 comment="GGA-PBE K2NpWN4, optimized geometry" spacegroup=I-4 volume_a3_per_cell=155 pbc="T T T"
K 0.000 0.000 0.000
K 0.000 2.995 2.165
Np 2.995 0.000 2.165
W 0.000 0.000 4.330
N 1.661 2.183 -1.054
N 3.807 1.661 1.054
N 1.334 0.812 3.276
N -0.812 1.334 5.383

# 2
8
Lattice="3.278 0.000 0.000 0.000 6.291 0.000 0.000 0.000 6.176" Properties=species:S:1:pos:R:3 comment="GGA-PBE KOsNO, optimized geometry" polymorph_energy_mev_per_atom=85 spacegroup=Pmc2_1 volume_a3_per_cell=127 pbc="T T T"
K 0.000 0.657 0.000
K 0.000 5.634 3.088
Os 1.639 2.669 2.827
Os 1.639 3.622 5.915
N 0.000 1.916 2.286
N 0.000 4.375 5.374
O 1.639 2.031 4.683
O 1.639 4.260 1.595

# 3
8
Lattice="3.747 0.000 0.000 0.000 6.044 0.000 0.000 0.000 6.255" Properties=species:S:1:pos:R:3 comment="GGA-PBE KOsNO, optimized geometry" polymorph_energy_mev_per_atom=0 spacegroup=Pmc2_1 volume_a3_per_cell=142 pbc="T T T"
K 0.000 1.055 0.000
K 0.000 4.990 3.127
Os 1.873 2.183 3.213
Os 1.873 3.862 0.086
N 1.873 2.610 1.443
N 1.873 3.434 4.570
O 0.000 1.551 3.441
O 0.000 4.494 0.313

# 4
16
Lattice="6.312 0.000 0.000 0.000 8.059 0.000 0.000 0.000 6.251" Properties=species:S:1:pos:R:3 comment="GGA-PBE KOsNO, optimized geometry" polymorph_energy_mev_per_atom=159 spacegroup=Pca2_1 volume_a3_per_cell=318 pbc="T T T"
K 0.078 1.444 0.000
K 3.078 1.444 3.125
K 3.234 6.615 0.000
K 6.234 6.615 3.125
Os 0.088 5.038 0.020
Os 3.068 5.038 3.145
Os 3.244 3.021 0.020
Os 6.224 3.021 3.145
N 0.117 6.740 6.138
N 3.039 6.740 3.012
N 3.272 1.319 6.138
N 6.195 1.319 3.012
O 1.515 3.989 3.206
O 1.641 3.989 0.081
O 4.671 4.070 3.206
O 4.797 4.070 0.081

# 5
8
Lattice="4.291 0.000 0.000 0.000 4.291 0.000 0.000 0.000 7.721" Properties=species:S:1:pos:R:3 comment="GGA-PBE KOsNO, optimized geometry" polymorph_energy_mev_per_atom=747 spacegroup=P4/nmm volume_a3_per_cell=142 pbc="T T T"
K 1.073 3.219 0.000
K 3.219 1.073 0.000
Os 1.073 1.073 3.258
Os 3.219 3.219 4.464
N 1.073 1.073 1.505
N 3.219 3.219 6.217
O 1.073 3.219 3.861
O 3.219 1.073 3.861

# 6
8
Lattice="3.645 0.000 0.000 0.000 3.645 0.000 0.000 0.000 10.159" Properties=species:S:1:pos:R:3 comment="GGA-PBE KOsNO, optimized geometry" polymorph_energy_mev_per_atom=765 spacegroup=P4/nmm volume_a3_per_cell=135 pbc="T T T"
K 0.911 0.911 1.831
K 2.733 2.733 8.328
Os 0.911 2.733 5.080
Os 2.733 0.911 5.080
N 0.911 0.911 6.124
N 2.733 2.733 4.035
O 0.911 2.733 0.000
O 2.733 0.911 0.000

# 7
16
Lattice="6.908 0.000 0.000 0.000 8.048 0.000 0.000 0.000 6.510" Properties=species:S:1:pos:R:3 comment="GGA-PBE KPaNO, optimized geometry" polymorph_energy_mev_per_atom=311 spacegroup=Pca2_1 volume_a3_per_cell=362 pbc="T T T"
K 0.736 0.871 0.000
K 2.718 0.871 3.255
K 4.190 7.177 0.000
K 6.172 7.177 3.255
Pa 0.761 4.771 6.419
Pa 2.693 4.771 3.164
Pa 4.215 3.278 6.419
Pa 6.148 3.278 3.164
N 0.123 1.678 3.910
N 3.331 1.678 0.655
N 3.577 6.371 3.910
N 6.785 6.371 0.655
O 0.592 4.931 4.118
O 2.863 4.931 0.863
O 4.046 3.117 4.118
O 6.317 3.117 0.863

# 8
8
Lattice="3.707 0.000 0.000 0.000 3.707 0.000 0.000 0.000 9.263" Properties=species:S:1:pos:R:3 comment="GGA-PBE KPaNO, optimized geometry" polymorph_energy_mev_per_atom=629 spacegroup=P4/nmm volume_a3_per_cell=127 pbc="T T T"
K 0.927 2.780 0.000
K 2.780 0.927 0.000
Pa 0.927 0.927 3.194
Pa 2.780 2.780 6.069
N 0.927 0.927 7.155
N 2.780 2.780 2.109
O 0.927 2.780 4.632
O 2.780 0.927 4.632

# 9
8
Lattice="4.029 0.000 0.000 0.000 7.214 0.000 0.000 0.000 6.207" Properties=species:S:1:pos:R:3 comment="GGA-PBE KPaNO, optimized geometry" polymorph_energy_mev_per_atom=59 spacegroup=Pmc2_1 volume_a3_per_cell=180 pbc="T T T"
K 0.000 1.209 0.000
K 0.000 6.006 3.104
Pa 2.014 2.448 3.140
Pa 2.014 4.766 0.036
N 2.014 2.829 5.275
N 2.014 4.385 2.171
O 0.000 1.480 2.746
O 0.000 5.735 5.849

# 10
8
Lattice="4.993 0.000 0.000 0.000 4.993 0.000 0.000 0.000 4.935" Properties=species:S:1:pos:R:3 comment="GGA-PBE KPaNO, optimized geometry" polymorph_energy_mev_per_atom=422 spacegroup=P4/nmm volume_a3_per_cell=123 pbc="T T T"
K 1.248 1.248 0.004
K 3.745 3.745 4.931
Pa 1.248 3.745 2.467
Pa 3.745 1.248 2.467
N 1.248 1.248 2.471
N 3.745 3.745 2.463
O 1.248 3.745 0.000
O 3.745 1.248 0.000

# 11
16
Lattice="6.902 0.000 0.000 0.000 8.485 0.000 0.000 0.000 6.277" Properties=species:S:1:pos:R:3 comment="GGA-PBE KPaNO, optimized geometry" polymorph_energy_mev_per_atom=0 spacegroup=Pca2_1 volume_a3_per_cell=368 pbc="T T T"
K 0.621 1.040 0.000
K 2.830 1.040 3.138
K 4.072 7.445 0.000
K 6.280 7.445 3.138
Pa 0.584 5.204 6.260
Pa 2.867 5.204 3.122
Pa 4.035 3.281 6.260
Pa 6.318 3.281 3.122
N 0.778 4.913 3.995
N 2.673 4.913 0.857
N 4.229 3.571 3.995
N 6.124 3.571 0.857
O 0.213 1.401 3.563
O 3.238 1.401 0.425
O 3.664 7.083 3.563
O 6.689 7.083 0.425

# 12
8
Lattice="3.770 0.000 0.000 0.000 7.395 0.000 0.000 0.000 6.555" Properties=species:S:1:pos:R:3 comment="GGA-PBE KPaNO, optimized geometry" polymorph_energy_mev_per_atom=66 spacegroup=Pmc2_1 volume_a3_per_cell=183 pbc="T T T"
K 0.000 1.138 0.000
K 0.000 6.258 3.278
Pa 1.885 2.595 3.326
Pa 1.885 4.800 0.049
N 0.000 1.579 2.819
N 0.000 5.817 6.097
O 1.885 2.835 5.542
O 1.885 4.561 2.264

| no. | DFT total energy (Ha/atom) |
| --- | --- |
| 1 | -0.30314 |
| 2 | -0.24529 |
| 3 | -0.24842 |
| 4 | -0.24258 |
| 5 | -0.22096 |
| 6 | -0.22032 |
| 7 | -0.25412 |
| 8 | -0.24244 |
| 9 | -0.26339 |
| 10 | -0.25005 |
| 11 | -0.26556 |
| 12 | -0.26314 |